{
  "formula": "ZnAg2O4",
  "functional": "GGA-PBEsol",
  "state": "relaxed",
  "lattice_angstrom": [[-2.8970, 2.8970, 5.4085], [2.8970, -2.8970, 5.4085], [2.8970, 2.8970, -5.4085]],
  "species": ["Zn", "Zn", "Ag", "Ag", "Ag", "Ag", "O", "O", "O", "O", "O", "O", "O", "O"],
  "frac_coords": [[0.3750, 0.6250, 0.7500], [0.6250, 0.3750, 0.2500], [0.0000, 0.0000, 0.0000], [0.0000, 0.0000, 0.5000], [0.0000, 0.5000, 0.0000], [0.5000, 0.0000, 0.5000], [0.2264, 0.7392, 0.4872], [0.2480, 0.2608, 0.9872], [0.2608, 0.2480, 0.4872], [0.2608, 0.7736, 0.0128], [0.7392, 0.2264, 0.9872], [0.7392, 0.7520, 0.5128], [0.7520, 0.7392, 0.0128], [0.7736, 0.2608, 0.5128]],
  "e_form_raw_ev_per_atom": -0.350,
  "sg": "I4_1/amd, No. 141",
  "e_above_lowest_polymorph_mev_per_atom": 0
}

{
  "formula": "Eu2MnRhO6",
  "functional": "GGA-PBEsol",
  "state": "relaxed",
  "lattice_angstrom": [[5.3526, 0.0000, 0.0000], [0.0000, 5.4957, 0.0000], [-5.3406, 0.0000, 7.6265]],
  "species": ["Eu", "Eu", "Eu", "Eu", "Mn", "Mn", "Rh", "Rh", "O", "O", "O", "O", "O", "O", "O", "O", "O", "O", "O", "O"],
  "frac_coords": [[0.2372, 0.0542, 0.2499], [0.2372, 0.4458, 0.7499], [0.7628, 0.5542, 0.2501], [0.7628, 0.9458, 0.7501], [0.5000, 0.0000, 0.0000], [0.5000, 0.5000, 0.5000], [0.0000, 0.0000, 0.5000], [0.0000, 0.5000, 0.0000], [0.1667, 0.1971, 0.9576], [0.1667, 0.3029, 0.4576], [0.2615, 0.7124, 0.9558], [0.2615, 0.7876, 0.4558], [0.3423, 0.0180, 0.7577], [0.3423, 0.4820, 0.2577], [0.6577, 0.5180, 0.7423], [0.6577, 0.9820, 0.2423], [0.7385, 0.2124, 0.5442], [0.7385, 0.2876, 0.0442], [0.8333, 0.6971, 0.5424], [0.8333, 0.8029, 0.0424]],
  "dos_at_fermi_per_ev_cell": 42.5,
  "e_form_raw_ev_per_atom": -2.168,
  "sg": "P2_1/c, No. 14"
}

{
  "formula": "SrSi2Sb",
  "functional": "GGA-PBEsol",
  "state": "relaxed",
  "lattice_angstrom": [[4.3723, 0.0000, 0.0000], [0.0000, 4.4944, 0.0000], [0.0000, 0.0000, 5.5766]],
  "species": ["Sr", "Si", "Si", "Sb"],
  "frac_coords": [[0.0000, 0.0000, 0.0000], [0.5000, 0.5000, 0.2004], [0.5000, 0.5000, 0.7996], [0.0000, 0.5000, 0.5000]],
  "dos_at_fermi_per_ev_cell": 1.7,
  "e_form_raw_ev_per_atom": -0.065,
  "sg": "Pmmm, No. 47"
}

{
  "formula": "TiMoBr2",
  "functional": "GGA-PBEsol",
  "state": "relaxed",
  "lattice_angstrom": [[-2.1651, 2.1651, 8.1181], [2.1651, -2.1651, 8.1181], [2.1651, 2.1651, -8.1181]],
  "species": ["Ti", "Ti", "Mo", "Mo", "Br", "Br", "Br", "Br"],
  "frac_coords": [[0.0000, 0.0000, 0.0000], [0.7500, 0.2500, 0.5000], [0.2500, 0.7500, 0.5000], [0.5000, 0.5000, 0.0000], [0.1267, 0.6250, 0.0017], [0.3750, 0.3767, 0.5017], [0.6233, 0.1250, 0.9983], [0.8750, 0.8733, 0.4983]],
  "dos_at_fermi_per_ev_cell": 7.0,
  "e_form_raw_ev_per_atom": 0.277,
  "sg": "I-42d, No. 122"
}

{
  "formula": "Si5As",
  "functional": "GGA-PBEsol",
  "state": "relaxed",
  "lattice_angstrom": [[4.9668, 0.0000, 0.0000], [-2.4834, 4.3014, 0.0000], [0.0000, 0.0000, 4.4432]],
  "species": ["Si", "Si", "Si", "Si", "Si", "As"],
  "frac_coords": [[0.0000, 0.5000, 0.0000], [0.3333, 0.6667, 0.5000], [0.5000, 0.0000, 0.0000], [0.5000, 0.5000, 0.0000], [0.6667, 0.3333, 0.5000], [0.0000, 0.0000, 0.5000]],
  "dos_at_fermi_per_ev_cell": 2.8,
  "e_form_raw_ev_per_atom": 0.513,
  "sg": "P6/mmm, No. 191"
}

{
  "formula": "SbP2Ir",
  "functional": "GGA-PBEsol",
  "state": "relaxed",
  "lattice_angstrom": [[1.8642, 1.0763, 5.7685], [-1.8642, 1.0763, 5.7685], [0.0000, -2.1526, 5.7685]],
  "species": ["Sb", "P", "P", "Ir"],
  "frac_coords": [[0.0000, 0.0000, 0.0000], [0.2311, 0.2311, 0.2311], [0.7689, 0.7689, 0.7689], [0.5000, 0.5000, 0.5000]],
  "dos_at_fermi_per_ev_cell": 2.2,
  "e_form_raw_ev_per_atom": -0.009,
  "sg": "R-3m, No. 166"
}

Please write out number 2 again, unchanged.
{
  "formula": "Eu2MnRhO6",
  "functional": "GGA-PBEsol",
  "state": "relaxed",
  "lattice_angstrom": [[5.3526, 0.0000, 0.0000], [0.0000, 5.4957, 0.0000], [-5.3406, 0.0000, 7.6265]],
  "species": ["Eu", "Eu", "Eu", "Eu", "Mn", "Mn", "Rh", "Rh", "O", "O", "O", "O", "O", "O", "O", "O", "O", "O", "O", "O"],
  "frac_coords": [[0.2372, 0.0542, 0.2499], [0.2372, 0.4458, 0.7499], [0.7628, 0.5542, 0.2501], [0.7628, 0.9458, 0.7501], [0.5000, 0.0000, 0.0000], [0.5000, 0.5000, 0.5000], [0.0000, 0.0000, 0.5000], [0.0000, 0.5000, 0.0000], [0.1667, 0.1971, 0.9576], [0.1667, 0.3029, 0.4576], [0.2615, 0.7124, 0.9558], [0.2615, 0.7876, 0.4558], [0.3423, 0.0180, 0.7577], [0.3423, 0.4820, 0.2577], [0.6577, 0.5180, 0.7423], [0.6577, 0.9820, 0.2423], [0.7385, 0.2124, 0.5442], [0.7385, 0.2876, 0.0442], [0.8333, 0.6971, 0.5424], [0.8333, 0.8029, 0.0424]],
  "dos_at_fermi_per_ev_cell": 42.5,
  "e_form_raw_ev_per_atom": -2.168,
  "sg": "P2_1/c, No. 14"
}